# BaCuTe2I | Alexandria | PBE-GGA | optimized geometry
data_BaCuTe2I
_cell_length_a 6.7837
_cell_length_b 6.7837
_cell_length_c 6.6104
_cell_angle_alpha 90.00
_cell_angle_beta 90.00
_cell_angle_gamma 90.00
_symmetry_space_group_name_H-M 'P 4/m m m'
_symmetry_Int_Tables_number 123
_symmetry_space_group_name_Hall '-P 4 2'
loop_
_atom_site_label
_atom_site_fract_x
_atom_site_fract_y
_atom_site_fract_z
Ba1 0.0000 0.0000 0.0000
Cu1 0.5000 0.5000 0.5000
Te1 0.0000 0.5000 0.0000
I1 0.0000 0.0000 0.5000
# distance to the lowest polymorph of the same formula = 1057.0 meV per atom
# ΔE_f (raw) = 0.3864 eV per atom
# total energy = -2.384 eV per atom
# spin magnetization = 2.0 Bohr magnetons per cell

***

# ScHgBi | Alexandria | PBE-GGA | optimized geometry
data_ScHgBi
_cell_length_a 7.0410
_cell_length_b 7.0410
_cell_length_c 7.0410
_cell_angle_alpha 90.00
_cell_angle_beta 90.00
_cell_angle_gamma 90.00
_symmetry_space_group_name_H-M 'F -4 3 m'
_symmetry_Int_Tables_number 216
_symmetry_space_group_name_Hall 'F -4 2 3'
loop_
_atom_site_label
_atom_site_fract_x
_atom_site_fract_y
_atom_site_fract_z
Sc1 0.0000 0.0000 0.0000
Hg1 0.2500 0.2500 0.2500
Bi1 0.2500 0.2500 0.7500
# distance to the lowest polymorph of the same formula = 0.0 meV per atom
# ΔH_f (0 K) = -0.3021 eV per atom
# total energy = -3.807 eV per atom
# spin magnetization = 0.0 Bohr magnetons per cell

***

Q: Among the records above, which one has the highest total energy?
A: BaCuTe2I

***

Q: What is the spin magnetization in the first record?
A: 2.0 Bohr magnetons per cell